one | 5
Lattice="4.910 0.000 0.000 0.000 4.910 0.000 0.000 0.000 4.910" Properties=species:S:1:pos:R:3 comment="ZrBeSb3, relaxed, DFT PBE" sg="Pm-3m, No. 221" pbc="T T T"
Sb 0.000 2.455 0.000
Sb 0.000 0.000 2.455
Sb 2.455 0.000 0.000
Zr 2.455 2.455 2.455
Be 0.000 0.000 0.000


two | 5
Lattice="5.522 0.000 0.000 0.000 5.522 0.000 0.000 0.000 5.522" Properties=species:S:1:pos:R:3 comment="ZrBeSb3, relaxed, DFT PBE" sg="Pm-3m, No. 221" pbc="T T T"
Sb 0.000 2.761 0.000
Sb 0.000 0.000 2.761
Sb 2.761 0.000 0.000
Zr 0.000 0.000 0.000
Be 2.761 2.761 2.761


Quick look at relative energies in meV per atom: one 0; two 318.


one | 16
Lattice="-2.473 3.908 -7.177 4.738 -7.097 -0.414 -3.162 -2.108 -0.058" Properties=species:S:1:pos:R:3 comment="Sc3Be5, relaxed, DFT PBE" sg="P6_3/mcm, No. 193" pbc="T T T"
Sc -2.371 1.970 -4.602
Sc 1.473 -7.267 -3.048
Sc -0.235 -1.155 -7.456
Sc 0.028 -1.679 -2.753
Sc -0.925 -3.618 -4.896
Sc -0.662 -4.141 -0.193
Be 2.334 -3.429 -2.669
Be -1.650 -0.814 -4.952
Be -3.232 -1.868 -4.981
Be 0.753 -4.483 -2.698
Be -1.142 0.029 -1.036
Be 0.245 -5.326 -6.614
Be -0.118 -1.535 -0.073
Be 1.153 -3.263 -6.526
Be -2.050 -2.034 -1.124
Be 1.694 -7.670 -0.399


two | 16
Lattice="6.725 -0.100 0.406 -5.499 5.290 -0.756 -0.188 -3.400 6.706" Properties=species:S:1:pos:R:3 comment="Sc3Be5, relaxed, DFT PBE" sg="P-1, No. 2" pbc="T T T"
Sc 1.442 3.776 -0.051
Sc -0.410 -1.985 6.407
Sc 1.338 -1.244 3.678
Sc -0.306 3.035 2.678
Sc -2.643 -0.214 5.007
Sc 3.675 2.005 1.349
Be -2.389 1.815 3.474
Be 3.421 -0.024 2.882
Be -1.450 2.215 5.357
Be 2.482 -0.424 0.999
Be 1.206 0.988 2.063
Be -0.174 0.803 4.293
Be 2.023 -2.612 5.927
Be -0.991 4.402 0.429
Be -1.087 0.431 2.279
Be 2.119 1.359 4.077


Quick look at relative energies in meV per atom: one 154; two 0.


one | 5
Lattice="3.944 -1.332 0.720 -1.599 3.669 1.352 -2.309 -2.828 2.124" Properties=species:S:1:pos:R:3 comment="ScBe4, relaxed, DFT PBE" sg="I4/mmm, No. 139" pbc="T T T"
Sc 0.000 0.000 0.000
Be -1.644 -0.371 2.279
Be -0.039 1.429 2.112
Be 1.678 -0.120 1.917
Be 0.074 -1.920 2.083


two | 5
Lattice="4.655 0.000 0.000 0.000 4.655 0.000 0.000 0.000 4.655" Properties=species:S:1:pos:R:3 comment="ScBe4, relaxed, DFT PBE" sg="Pm-3m, No. 221" pbc="T T T"
Sc 2.327 2.327 2.327
Be 0.000 0.000 0.000
Be 2.327 0.000 2.327
Be 0.000 2.327 2.327
Be 2.327 2.327 0.000


three | 5
Lattice="4.371 -1.695 -1.887 4.260 0.675 2.633 -4.681 -1.731 0.793" Properties=species:S:1:pos:R:3 comment="ScBe4, relaxed, DFT PBE" sg="I4/mmm, No. 139" pbc="T T T"
Sc 0.000 0.000 0.000
Be 2.003 -1.968 -0.360
Be 1.947 -0.783 1.899
Be 5.365 -0.634 0.464
Be 3.266 -0.386 0.282


four | 5
Lattice="-0.711 -0.157 4.986 3.112 3.797 -1.134 -4.424 0.708 -2.306" Properties=species:S:1:pos:R:3 comment="ScBe4, relaxed, DFT PBE" sg="Im-3m, No. 229" pbc="T T T"
Sc 0.000 0.000 0.000
Be -0.355 -0.078 2.493
Be -1.011 2.174 0.773
Be 1.556 1.898 -0.567
Be -2.212 0.354 -1.153


Quick look at relative energies in meV per atom: one 37; two 2219; three 0; four 1721.


one | 9
Lattice="-1.437 -3.406 5.205 3.355 4.958 -2.218 -5.670 2.909 -0.382" Properties=species:S:1:pos:R:3 comment="Sc4Be5, relaxed, DFT PBE" sg="I4/mmm, No. 139" pbc="T T T"
Sc -2.144 -0.150 1.455
Sc -4.962 -0.347 3.367
Sc -1.616 5.493 -1.815
Sc -0.698 2.374 -0.785
Be 0.000 0.000 0.000
Be 1.564 1.832 0.556
Be 0.354 -0.281 2.431
Be -0.231 1.707 1.774
Be -3.521 2.754 0.831


two | 18
Lattice="-2.030 7.374 0.944 -1.562 -5.161 5.505 4.832 1.031 2.338" Properties=species:S:1:pos:R:3 comment="Sc4Be5, relaxed, DFT PBE" sg="P6_3/mcm, No. 193" pbc="T T T"
Sc 0.000 0.000 0.000
Sc 2.416 0.515 1.169
Sc 0.644 -1.604 2.570
Sc -1.088 1.672 4.707
Sc 0.476 2.918 0.925
Sc 2.625 -2.526 5.272
Sc 2.328 1.571 4.080
Sc 2.327 5.487 2.357
Be 0.140 -3.271 4.349
Be 0.072 0.957 2.624
Be -0.180 5.300 1.230
Be 3.130 -0.859 3.494
Be 1.168 2.286 6.163
Be 2.982 3.105 2.052
Be -1.874 3.195 2.464
Be 0.698 -0.467 5.153
Be -1.718 -0.983 3.984
Be 0.542 3.711 3.633


Quick look at relative energies in meV per atom: one 0; two 35.


one | 5
Lattice="1.768 -3.062 0.000 1.768 3.062 0.000 0.000 0.000 7.080" Properties=species:S:1:pos:R:3 comment="Sc2Be3, relaxed, DFT PBE" sg="P-3m1, No. 164" pbc="T T T"
Sc 1.768 -1.021 2.207
Sc 1.768 1.021 4.874
Be 0.000 0.000 0.000
Be 1.768 -1.021 6.635
Be 1.768 1.021 0.445


two | 5
Lattice="5.963 -1.952 -0.026 5.963 1.952 -0.026 5.338 0.000 3.297" Properties=species:S:1:pos:R:3 comment="Sc2Be3, relaxed, DFT PBE" sg="R-3m, No. 166" pbc="T T T"
Sc 7.141 0.000 1.342
Sc 10.123 0.000 1.903
Be 0.000 0.000 0.000
Be 14.499 0.000 2.725
Be 2.765 0.000 0.520


three | 10
Lattice="0.000 4.104 6.908 2.562 0.000 6.908 2.562 4.104 0.000" Properties=species:S:1:pos:R:3 comment="Sc2Be3, relaxed, DFT PBE" sg="Fdd2, No. 43" pbc="T T T"
Sc 2.041 2.713 6.239
Sc 2.041 5.495 7.576
Sc 3.322 4.766 11.030
Sc 3.322 7.548 9.693
Be 3.348 4.775 5.156
Be 3.348 3.434 8.660
Be 4.629 6.827 12.114
Be 4.629 5.486 8.610
Be 4.594 4.104 6.908
Be 0.751 2.052 3.454


Quick look at relative energies in meV per atom: one 0; two 164; three 32.


one | 9
Lattice="4.516 -4.519 -0.520 -5.473 1.467 2.997 -2.680 -1.115 -5.715" Properties=species:S:1:pos:R:3 comment="Sc5Be4, relaxed, DFT PBE" sg="I4/mmm, No. 139" pbc="T T T"
Sc 0.000 0.000 0.000
Sc 1.263 -2.570 0.625
Sc -2.221 -0.482 1.852
Sc -2.057 -1.720 -2.915
Sc -1.580 -2.447 -0.323
Be 1.162 -3.566 -3.946
Be 0.674 -2.068 -2.289
Be -2.993 0.129 -0.998
Be -5.160 0.223 -1.720


two | 18
Lattice="7.901 0.000 0.000 -3.950 6.842 0.000 0.000 0.000 5.806" Properties=species:S:1:pos:R:3 comment="Sc5Be4, relaxed, DFT PBE" sg="P6_3/mcm, No. 193" pbc="T T T"
Sc -2.805 4.859 1.452
Sc 1.145 1.983 1.452
Sc 5.610 0.000 1.452
Sc -1.145 1.983 4.355
Sc 2.805 4.859 4.355
Sc 2.290 0.000 4.355
Sc 3.950 2.281 0.000
Sc 0.000 4.561 2.903
Sc 0.000 4.561 0.000
Sc 3.950 2.281 2.903
Be 0.000 0.000 0.000
Be 0.000 0.000 2.903
Be -1.447 2.507 1.452
Be 2.503 4.335 1.452
Be 2.895 0.000 1.452
Be -2.503 4.335 4.355
Be 1.447 2.507 4.355
Be 5.006 0.000 4.355


Quick look at relative energies in meV per atom: one 137; two 0.


one | 6
Lattice="-0.239 3.398 -1.714 1.980 -1.444 -3.139 -4.629 -0.426 -0.198" Properties=species:S:1:pos:R:3 comment="ScBe5, relaxed, DFT PBE" sg="Cmmm, No. 65" pbc="T T T"
Sc 0.000 0.000 0.000
Be -1.209 0.322 -3.437
Be -0.339 -1.141 -2.215
Be 0.871 0.977 -2.427
Be -2.309 -0.728 -1.122
Be -1.679 1.208 -1.614


two | 6
Lattice="1.247 -7.379 0.000 1.247 7.379 0.000 0.000 0.000 3.508" Properties=species:S:1:pos:R:3 comment="ScBe5, relaxed, DFT PBE" sg="Amm2, No. 38" pbc="T T T"
Sc 1.247 5.772 1.754
Be 1.247 -6.695 0.000
Be 1.247 2.498 0.000
Be 1.247 -3.127 0.000
Be 1.247 1.060 1.754
Be 1.247 -4.429 1.754


Quick look at relative energies in meV per atom: one 10; two 0.


one | 6
Lattice="0.442 0.615 5.123 0.684 -1.683 4.849 5.447 0.466 0.908" Properties=species:S:1:pos:R:3 comment="ScBe5, relaxed, DFT PBE" sg="C2/m, No. 12" pbc="T T T"
Sc 0.000 0.000 0.000
Be 4.784 0.077 3.594
Be 2.723 0.233 0.454
Be 1.788 -0.679 7.286
Be 4.029 -0.431 7.194
Be 2.543 -0.171 3.685


two | 6
Lattice="-2.988 -0.751 3.275 -0.024 2.608 3.663 -3.372 2.897 0.676" Properties=species:S:1:pos:R:3 comment="ScBe5, relaxed, DFT PBE" sg="F-43m, No. 216" pbc="T T T"
Sc 0.000 0.000 0.000
Be -1.596 1.188 1.904
Be -3.995 2.975 4.766
Be -2.297 1.516 4.425
Be -2.491 3.353 3.116
Be -3.983 1.662 2.921


Quick look at relative energies in meV per atom: one 63; two 0.


one | 10
Lattice="-0.256 4.625 5.609 -7.220 -0.821 0.347 0.428 -2.785 2.317" Properties=species:S:1:pos:R:3 comment="Sc2BeSe2, relaxed, DFT PBE" sg="P4/mbm, No. 127" pbc="T T T"
Sc -6.167 0.890 2.210
Sc -4.967 3.354 4.951
Sc -1.310 2.914 3.746
Sc -2.510 0.450 1.005
Be 0.000 0.000 0.000
Be -3.738 1.902 2.978
Se -4.520 -1.231 2.228
Se -6.087 0.918 5.101
Se -2.528 2.250 6.045
Se -0.962 0.101 3.171


two | 5
Lattice="-4.224 1.091 1.618 1.450 -0.829 4.343 0.269 5.764 3.503" Properties=species:S:1:pos:R:3 comment="Sc2BeSe2, relaxed, DFT PBE" sg="I4/mmm, No. 139" pbc="T T T"
Sc -0.922 1.713 3.127
Sc -1.583 4.313 6.337
Be 0.000 0.000 0.000
Se -2.671 3.493 4.051
Se 0.166 2.533 5.413


Quick look at relative energies in meV per atom: one 0; two 406.


one | 5
Lattice="-3.157 -1.032 -2.786 -2.238 -1.848 3.221 -1.954 3.784 0.813" Properties=species:S:1:pos:R:3 comment="ScBe3Se, relaxed, DFT PBE" sg="Pm-3m, No. 221" pbc="T T T"
Sc -3.675 0.452 0.624
Be -1.119 -0.924 1.610
Be -0.977 1.892 0.406
Be -1.579 -0.516 -1.393
Se 0.000 0.000 0.000


two | 5
Lattice="-0.127 1.858 -4.471 2.819 -3.608 -1.579 -3.936 -2.644 -0.987" Properties=species:S:1:pos:R:3 comment="ScBe3Se, relaxed, DFT PBE" sg="Pm-3m, No. 221" pbc="T T T"
Sc 0.000 0.000 0.000
Be 1.410 -1.804 -0.790
Be -1.968 -1.322 -0.494
Be -0.063 0.929 -2.235
Se -0.622 -2.197 -3.519


Quick look at relative energies in meV per atom: one 0; two 1008.


one | 4
Lattice="3.251 0.000 0.000 0.000 3.251 0.000 0.000 0.000 8.432" Properties=species:S:1:pos:R:3 comment="SmSc2Be, relaxed, DFT PBE" sg="P4/mmm, No. 123" pbc="T T T"
Sc 0.000 0.000 6.888
Sc 0.000 0.000 1.544
Be 1.626 1.626 0.000
Sm 1.626 1.626 4.216


two | 4
Lattice="-0.220 0.399 -3.227 0.763 -2.457 -2.002 -10.177 -4.128 -1.464" Properties=species:S:1:pos:R:3 comment="SmSc2Be, relaxed, DFT PBE" sg="R-3m, No. 166" pbc="T T T"
Sc -7.600 -3.272 -1.533
Sc -2.034 -2.914 -5.160
Be 0.000 0.000 0.000
Sm -4.817 -3.093 -3.347


Quick look at relative energies in meV per atom: one 0; two 667.